Record 1
BeZn2Os | GGA-PBE | relaxed

Its formation enthalpy at 0 K is 0.243 eV per atom. Its size of the total moment is 0.0 μB/cell. Its uncorrected energy is -4.133 eV/atom.

The space group is Pmmm (No. 47) and the conventional cell measures 2.6040, 3.9827 and 5.0557 Å, with angles of 90.00, 90.00 and 90.00 degrees. The distinct sites, in fractional coordinates, are Be at (0.0000, 0.0000, 0.0000), Zn at (0.5000, 0.5000, 0.2453) and Os at (0.0000, 0.0000, 0.5000).


Record 2
BeZnOs | GGA-PBE | relaxed

Its formation enthalpy at 0 K is 0.338 eV per atom. Its size of the total moment is 0.0 μB/cell. Its uncorrected energy is -5.072 eV/atom.

The space group is F-43m (No. 216) and the conventional cell measures 5.3700, 5.3700 and 5.3700 Å, with angles of 90.00, 90.00 and 90.00 degrees. The distinct sites, in fractional coordinates, are Be at (0.0000, 0.0000, 0.0000), Zn at (0.2500, 0.2500, 0.2500) and Os at (0.2500, 0.2500, 0.7500).


Record 3
BeZn2Os | GGA-PBE | relaxed

Its formation enthalpy at 0 K is 0.215 eV per atom. Its size of the total moment is 0.0 μB/cell. Its uncorrected energy is -4.161 eV/atom.

The space group is Cmmm (No. 65) and the conventional cell measures 4.9877, 7.7996 and 2.6990 Å, with angles of 90.00, 90.00 and 90.00 degrees. The distinct sites, in fractional coordinates, are Be at (0.0000, 0.0000, 0.0000), Zn at (0.2500, 0.2500, 0.5000) and Os at (0.0000, 0.5000, 0.0000).